# ZrSiHg2 | Alexandria | PBE | optimized geometry
# ΔE to the lowest computed polymorph = 166 meV/atom
# Fermi-level density of states = 4.325 states/eV/cell
# formation energy from raw total energies = 0.076 eV/atom
data_ZrSiHg2
_chemical_formula_sum 'Zr2 Si2 Hg4'
_cell_length_a 5.628
_cell_length_b 9.626
_cell_length_c 3.128
_cell_angle_alpha 90.00
_cell_angle_beta 98.76
_cell_angle_gamma 90.00
_space_group_name_H-M_alt 'C 1 2/m 1'
_space_group_IT_number 12
loop_
_space_group_symop_operation_xyz
'x,y,z'
'-x,-y,-z'
'-x,y,-z'
'x,-y,z'
'x+1/2,y+1/2,z'
'-x+1/2,-y+1/2,-z'
'-x+1/2,y+1/2,-z'
'x+1/2,-y+1/2,z'
loop_
_atom_site_label
_atom_site_fract_x
_atom_site_fract_y
_atom_site_fract_z
Zr1 0.000 0.000 0.000
Si1 0.000 0.500 0.000
Hg1 0.250 0.250 0.500